Crystalline EuMn4Cu3O12 at its relaxed geometry, computed with PBEsol.

Structure (POSCAR):
```
EuMn4Cu3O12
1.0
-3.5942 3.5942 3.5942
3.5942 -3.5942 3.5942
3.5942 3.5942 -3.5942
Eu Mn Cu O
1 4 3 12
Direct
0.0000 0.0000 0.0000 Eu
0.0000 0.0000 0.5000 Mn
0.0000 0.5000 0.0000 Mn
0.5000 0.0000 0.0000 Mn
0.5000 0.5000 0.5000 Mn
0.0000 0.5000 0.5000 Cu
0.5000 0.0000 0.5000 Cu
0.5000 0.5000 0.0000 Cu
0.1222 0.8202 0.3020 O
0.1798 0.3020 0.4818 O
0.1798 0.6980 0.8778 O
0.3020 0.1222 0.8202 O
0.3020 0.4818 0.1798 O
0.4818 0.1798 0.3020 O
0.5182 0.8202 0.6980 O
0.6980 0.5182 0.8202 O
0.6980 0.8778 0.1798 O
0.8202 0.3020 0.1222 O
0.8202 0.6980 0.5182 O
0.8778 0.1798 0.6980 O
```

Fermi-level density of states: 12.88 states/eV/f.u.
formation energy from raw total energies: -1557 meV/atom
DFT total energy: -156.75 eV for the cell shown
SG: Im-3
crystal system: cubic